[1]
This record from Alexandria describes a relaxed structure of TaTi. The functional is PBE-GGA.

Properties
electronic total energy	-7.177	eV per atom
energy relative to the elements	2696	meV/atom
SG	No. 216

```
TaTi
1.0
-1.778 -5.592 -0.948
4.012 -0.537 -4.353
4.009 -1.942 3.935
Ta Ti
4 4
Direct
0.000 0.000 0.000 Ta
0.000 0.500 0.500 Ta
0.500 0.000 0.500 Ta
0.500 0.500 0.000 Ta
0.250 0.250 0.250 Ti
0.250 0.750 0.750 Ti
0.750 0.250 0.750 Ti
0.750 0.750 0.250 Ti
```

---

[2]
This record from Alexandria describes a relaxed structure of TaAl4Co5. The functional is PBE-GGA.

Properties
electronic total energy	-6.761	eV per atom
energy relative to the elements	-526	meV/atom
SG	No. 123

```
TaAl4Co5
1.0
-2.070 0.603 1.827
1.764 -0.475 2.156
4.118 14.600 -0.150
Ta Al Co
1 4 5
Direct
0.000 0.000 0.000 Ta
0.000 0.000 0.213 Al
0.000 0.000 0.405 Al
0.000 0.000 0.595 Al
0.000 0.000 0.787 Al
0.500 0.500 0.118 Co
0.500 0.500 0.311 Co
0.500 0.500 0.500 Co
0.500 0.500 0.689 Co
0.500 0.500 0.882 Co
```

---

[3]
This record from Alexandria describes a relaxed structure of CdPt2Pb. The functional is PBE-GGA.

Properties
ΔE to the lowest computed polymorph	158	meV per atom
electronic total energy	-4.197	eV per atom
energy relative to the elements	-21	meV/atom
SG	No. 12

```
CdPt2Pb
1.0
4.861 0.034 -0.017
3.779 3.057 -0.017
0.973 0.348 5.288
Pb Pt Cd
1 2 1
Direct
0.250 0.250 0.250 Pb
0.005 0.005 0.987 Pt
0.495 0.495 0.513 Pt
0.750 0.750 0.750 Cd
```

---

[4]
This record from Alexandria describes a relaxed structure of Ho3Si2Pt. The functional is PBE-GGA.

Properties
energy relative to the elements, uncorrected	-932	meV/atom
electronic total energy	-6.035	eV per atom
SG	No. 62

```
Ho3Si2Pt
1.0
4.212 0.000 0.000
0.000 11.303 0.000
0.000 0.000 11.385
Ho Si Pt
12 8 4
Direct
0.250 0.377 0.057 Ho
0.750 0.623 0.943 Ho
0.750 0.877 0.443 Ho
0.250 0.123 0.557 Ho
0.250 0.693 0.211 Ho
0.750 0.307 0.789 Ho
0.750 0.193 0.289 Ho
0.250 0.807 0.711 Ho
0.250 0.439 0.380 Ho
0.750 0.561 0.620 Ho
0.750 0.939 0.120 Ho
0.250 0.061 0.880 Ho
0.250 0.691 0.481 Si
0.750 0.309 0.519 Si
0.750 0.191 0.019 Si
0.250 0.809 0.981 Si
0.250 0.000 0.309 Si
0.750 0.000 0.691 Si
0.750 0.500 0.191 Si
0.250 0.500 0.809 Si
0.250 0.133 0.130 Pt
0.750 0.867 0.870 Pt
0.750 0.633 0.370 Pt
0.250 0.367 0.630 Pt
```